Record 1
Crystalline Cu2HPdPb at its relaxed geometry, computed with PBE-GGA.

- crystal system = tetragonal
- calculated total energy (eV/atom) = -3.984
- total moment (μB/f.u.) = 0.0

Structure (CIF):
```
data_Cu2HPdPb
_chemical_formula_sum 'Cu2 H1 Pd1 Pb1'
_space_group_name_H-M_alt 'P 4/m m m'
_space_group_IT_number 123
_space_group_name_Hall '-P 4 2'
_cell_length_a 4.293
_cell_length_b 4.293
_cell_length_c 3.718
_cell_angle_alpha 90.00
_cell_angle_beta 90.00
_cell_angle_gamma 90.00
loop_
_atom_site_label
_atom_site_fract_x
_atom_site_fract_y
_atom_site_fract_z
Cu1 0.000 0.500 0.000
H1 0.000 0.000 0.000
Pd1 0.000 0.000 0.500
Pb1 0.500 0.500 0.500
```

Record 2
Crystalline CuHRh2Pb at its relaxed geometry, computed with PBE-GGA.

- crystal system = tetragonal
- calculated total energy (eV/atom) = -5.207
- total moment (μB/f.u.) = 0.0

Structure (CIF):
```
data_CuHRh2Pb
_chemical_formula_sum 'Cu1 H1 Rh2 Pb1'
_space_group_name_H-M_alt 'P 4/m m m'
_space_group_IT_number 123
_space_group_name_Hall '-P 4 2'
_cell_length_a 4.145
_cell_length_b 4.145
_cell_length_c 3.838
_cell_angle_alpha 90.00
_cell_angle_beta 90.00
_cell_angle_gamma 90.00
loop_
_atom_site_label
_atom_site_fract_x
_atom_site_fract_y
_atom_site_fract_z
Cu1 0.000 0.000 0.000
H1 0.000 0.000 0.500
Rh1 0.000 0.500 0.500
Pb1 0.500 0.500 0.000
```

What D(E_F) values result from the calculations? In sequence: 0.372 0.151 states/eV per atom.